Density functional theory data (PBE) for InSiMo2 after structural relaxation.

Results
Size of the total moment = 0.0 μB per cell
Raw formation energy = 0.54 eV/atom
Symmetry = I-42d

Structure (CIF):
```
data_InSiMo2
_chemical_formula_sum 'In2 Si2 Mo4'
_cell_length_a 3.937
_cell_length_b 3.937
_cell_length_c 9.936
_cell_angle_alpha 78.57
_cell_angle_beta 78.57
_cell_angle_gamma 90.00
_space_group_name_H-M_alt 'P 1'
_space_group_IT_number 1
loop_
_space_group_symop_operation_xyz
'x,y,z'
loop_
_atom_site_label
_atom_site_type_symbol
_atom_site_fract_x
_atom_site_fract_y
_atom_site_fract_z
Mo1 Mo 0.185 0.625 0.250
Mo2 Mo 0.565 0.125 0.250
Mo3 Mo 0.875 0.815 0.750
Mo4 Mo 0.375 0.435 0.750
In1 In 0.000 0.000 0.000
In2 In 0.750 0.250 0.500
Si1 Si 0.500 0.500 0.000
Si2 Si 0.250 0.750 0.500
```